No. 1
Pr2PdPb2 | PBE-GGA | relaxed

## Properties
energy relative to the elements = -0.62 eV per atom

abc: 4.686 6.257 10.644
angles: 88.57 77.28 68.01
Sites, in units of the cell vectors:
Pb  0.904  0.750  0.442
Pr  0.938  0.244  0.880
Pr  0.062  0.756  0.120
Pr  0.674  0.321  0.331
Pb  0.347  0.191  0.115
Pd  0.617  0.095  0.671
Pr  0.326  0.679  0.669
Pb  0.096  0.250  0.558
Pb  0.653  0.809  0.885
Pd  0.383  0.905  0.329

=====

No. 2
HgAuI4 | PBE-GGA | relaxed

## Properties
distance to the lowest polymorph of the same formula = 0.0279 eV/atom
ΔE_f (raw) = -5.6 kJ per mole of atoms

abc: 6.717 6.779 11.825
angles: 105.42 105.26 94.17
Sites, in units of the cell vectors:
I  0.419  0.696  0.907
I  0.631  0.912  0.359
I  0.012  0.789  0.093
Au  0.325  0.575  0.150
I  0.227  0.447  0.359
I  0.581  0.304  0.093
I  0.988  0.211  0.907
I  0.369  0.088  0.641
I  0.773  0.553  0.641
Hg  0.110  0.860  0.719
Hg  0.890  0.140  0.281
Au  0.675  0.425  0.850

=====

No. 3
CeHo4Bi | PBE-GGA | relaxed

## Properties
energy relative to the elements = 0.10 eV per atom

abc: 5.642 5.902 11.929
angles: 90.00 103.68 90.00
Site moments in Bohr magnetons follow the coordinates.
Sites, in units of the cell vectors:
Ho  0.760  0.005  0.520  0.04
Ho  0.470  0.892  0.940  0.00
Bi  0.105  0.280  0.211  -0.01
Ho  0.048  0.770  0.096  -0.01
Ho  0.332  0.995  0.664  0.06
Bi  0.895  0.780  0.789  -0.01
Ce  0.620  0.992  0.241  0.46
Ho  0.240  0.505  0.480  0.04
Ho  0.668  0.495  0.336  0.06
Ho  0.952  0.270  0.904  -0.01
Ce  0.380  0.492  0.759  0.46
Ho  0.530  0.392  0.060  0.00

=====

No. 4
MnBeTc2Ge | PBE-GGA | relaxed

## Properties
energy relative to the elements = 0.66 eV per atom

abc: 4.132 3.864 4.132
angles: 90.00 90.00 90.00
Site moments in Bohr magnetons follow the coordinates.
Sites, in units of the cell vectors:
Be  0.000  0.000  0.000  0.00
Ge  0.500  0.500  0.500  -0.01
Tc  0.000  0.000  0.500  0.13
Tc  0.500  0.000  0.000  0.08
Mn  0.000  0.500  0.000  0.14

=====

No. 5
PmNd2Sb3 | PBE-GGA | relaxed

## Properties
ΔE_f (raw) = -114.7 kJ per mole of atoms

abc: 4.517 6.379 7.817
angles: 114.08 106.79 90.00
Sites, in units of the cell vectors:
Nd  0.667  0.167  0.334
Pm  0.000  0.500  0.000
Sb  0.666  0.666  0.331
Nd  0.333  0.833  0.666
Sb  0.000  0.000  0.000
Sb  0.334  0.334  0.669

=====

No. 6
NiMoIr2 | PBE-GGA | relaxed

## Properties
distance to the lowest polymorph of the same formula = 0.0862 eV/atom
energy relative to the elements = -0.18 eV per atom

abc: 2.746 3.747 5.450
angles: 90.00 90.00 90.00
Sites, in units of the cell vectors:
Mo  0.500  0.500  0.250
Ir  0.000  0.000  0.990
Ir  0.000  0.000  0.510
Ni  0.500  0.500  0.750

=====

no.,DFT total energy (eV per atom)
1,-5.056
2,-1.688
3,-4.589
4,-6.994
5,-5.631
6,-8.762